Entry 1:
ReTcN2O | PBE | relaxed

a b c (Å): 3.986 3.986 3.730
angles (deg): 90.00 90.00 90.00
Sites, in units of the cell vectors:
Re: 0.000 0.000 0.000
Tc: 0.500 0.500 0.500
N: 0.000 0.500 0.500
N: 0.500 0.000 0.500
O: 0.500 0.500 0.000

- Uncorrected formation energy: 5.40 eV per formula unit
- Symmetry: No. 123


Entry 2:
Cs3RbAu | PBE | relaxed

a b c (Å): 6.010 6.010 13.040
angles (deg): 90.00 90.00 90.00
Sites, in units of the cell vectors:
Cs: 0.000 0.000 0.000
Cs: 0.000 0.500 0.647
Cs: 0.500 0.000 0.647
Rb: 0.000 0.000 0.364
Au: 0.500 0.500 0.495

- E above lowest polymorph: 0.83 eV/f.u.
- Symmetry: No. 99


Entry 3:
CsErPb2F8 | PBE | relaxed

a b c (Å): 4.173 8.380 6.187
angles (deg): 90.00 90.36 90.00
Sites, in units of the cell vectors:
Cs: 0.000 0.000 0.000
Er: 0.000 0.500 0.000
Pb: 0.500 0.251 0.500
Pb: 0.500 0.749 0.500
F: 0.001 0.302 0.754
F: 0.001 0.698 0.754
F: 0.497 0.000 0.701
F: 0.499 0.500 0.197
F: 0.501 0.500 0.803
F: 0.503 0.000 0.299
F: 0.999 0.302 0.246
F: 0.999 0.698 0.246

- Uncorrected formation energy: -35.91 eV per formula unit
- Symmetry: No. 10


Entry 4:
TiGeSeN2 | PBE | relaxed

a b c (Å): 3.745 3.745 5.202
angles (deg): 90.00 90.00 90.00
Sites, in units of the cell vectors:
Ti: 0.000 0.000 0.000
Ge: 0.500 0.500 0.500
Se: 0.500 0.500 0.000
N: 0.000 0.500 0.500
N: 0.500 0.000 0.500

- E above lowest polymorph: 2.70 eV/f.u.
- Uncorrected formation energy: 3.96 eV per formula unit
- Symmetry: No. 123


Entry 5:
NdMg5Rh2 | PBE | relaxed

a b c (Å): 6.745 6.745 6.745
angles (deg): 143.96 103.79 87.30
Sites, in units of the cell vectors:
Nd: 0.000 0.000 0.000
Mg: 0.151 0.334 0.817
Mg: 0.484 0.666 0.817
Mg: 0.500 0.000 0.500
Mg: 0.516 0.334 0.183
Mg: 0.849 0.666 0.183
Rh: 0.229 0.729 0.500
Rh: 0.771 0.271 0.500

- Symmetry: No. 71
- E: -3.805 eV per atom


Entry 6:
Na10B17C3 | PBE | relaxed

a b c (Å): 9.097 9.097 13.465
angles (deg): 112.48 112.48 18.62
Sites, in units of the cell vectors:
Na: 0.000 0.000 0.000
Na: 0.000 0.000 0.497
Na: 0.198 0.198 0.399
Na: 0.201 0.201 0.899
Na: 0.399 0.399 0.299
Na: 0.399 0.399 0.800
Na: 0.600 0.600 0.199
Na: 0.600 0.600 0.699
Na: 0.800 0.800 0.100
Na: 0.800 0.800 0.599
B: 0.034 0.034 0.817
B: 0.166 0.166 0.081
B: 0.170 0.170 0.590
B: 0.234 0.234 0.217
B: 0.366 0.366 0.481
B: 0.373 0.373 0.996
B: 0.434 0.434 0.617
B: 0.561 0.561 0.371
B: 0.566 0.566 0.881
B: 0.631 0.631 0.512
B: 0.634 0.634 0.017
B: 0.764 0.764 0.777
B: 0.765 0.765 0.281
B: 0.834 0.834 0.418
B: 0.834 0.834 0.918
B: 0.965 0.965 0.681
B: 0.967 0.967 0.183
C: 0.030 0.030 0.310
C: 0.233 0.233 0.715
C: 0.435 0.435 0.120

- E above lowest polymorph: 0.74 eV/f.u.
- Symmetry: No. 8


Entry 7:
PrNd6HoTm2 | PBE | relaxed

a b c (Å): 8.940 8.940 9.653
angles (deg): 93.52 93.52 116.78
Sites, in units of the cell vectors:
Pr: 0.031 0.969 0.750
Pr: 0.969 0.031 0.250
Nd: 0.006 0.559 0.684
Nd: 0.113 0.760 0.056
Nd: 0.240 0.887 0.444
Nd: 0.295 0.516 0.883
Nd: 0.441 0.994 0.816
Nd: 0.484 0.705 0.617
Nd: 0.516 0.295 0.383
Nd: 0.559 0.006 0.184
Nd: 0.705 0.484 0.117
Nd: 0.760 0.113 0.556
Nd: 0.887 0.240 0.944
Nd: 0.994 0.441 0.316
Ho: 0.411 0.589 0.250
Ho: 0.589 0.411 0.750
Tm: 0.203 0.300 0.550
Tm: 0.300 0.203 0.050
Tm: 0.700 0.797 0.950
Tm: 0.797 0.700 0.450

- Symmetry: No. 15
- E: -4.577 eV per atom


Entry 8:
SbOsF3 | PBE | relaxed

a b c (Å): 4.530 4.530 4.530
angles (deg): 90.00 90.00 90.00
Sites, in units of the cell vectors:
Sb: 0.000 0.000 0.000
Os: 0.500 0.500 0.500
F: 0.000 0.000 0.500
F: 0.000 0.500 0.000
F: 0.500 0.000 0.000

- E above lowest polymorph: 0.45 eV/f.u.
- Uncorrected formation energy: -0.81 eV per formula unit
- Symmetry: No. 221


| no. | total magnetic moment (Bohr magnetons per cell) |
| --- | --- |
| 1 | 4.0 |
| 2 | 0.0 |
| 3 | 0.0 |
| 4 | 0.0 |
| 5 | 0.0 |
| 6 | 0.0 |
| 7 | 0.0 |
| 8 | 4.0 |